Record 1
## SrNi2Sb (PBE)

Data for a geometry-optimized SrNi2Sb structure.

Results
Fermi-level density of states	2.2	states/eV/f.u.
formation energy from raw total energies	0.0392	eV/atom
energy	-0.158	hartree per atom

```
data_SrNi2Sb
_chemical_formula_sum 'Sr2 Ni4 Sb2'
_space_group_name_H-M_alt 'I m m 2'
_space_group_IT_number 44
_cell_length_a 3.4586
_cell_length_b 5.1395
_cell_length_c 9.2557
_cell_angle_alpha 90.00
_cell_angle_beta 90.00
_cell_angle_gamma 90.00
loop_
_space_group_symop_operation_xyz
'x,y,z'
'-x,-y,z'
'-x,y,z'
'x,-y,z'
'x+1/2,y+1/2,z+1/2'
'-x+1/2,-y+1/2,z+1/2'
'-x+1/2,y+1/2,z+1/2'
'x+1/2,-y+1/2,z+1/2'
loop_
_atom_site_label
_atom_site_type_symbol
_atom_site_fract_x
_atom_site_fract_y
_atom_site_fract_z
Sr1 Sr 0.0000 0.0000 0.0000
Ni1 Ni 0.0000 0.0000 0.4911
Ni2 Ni 0.0000 0.5000 0.8065
Sb1 Sb 0.0000 0.5000 0.2043
```



Record 2
## TbTi2Co9 (PBE)

Data for a geometry-optimized TbTi2Co9 structure.

Results
energy of formation from the pure elements	-0.21	eV per atom
Fermi-level density of states	16.2	states/eV/f.u.
energy	-0.266	hartree per atom

```
data_TbTi2Co9
_chemical_formula_sum 'Tb3 Ti6 Co27'
_space_group_name_H-M_alt 'R -3 m'
_space_group_IT_number 166
_space_group_name_Hall '-R 3 2"'
_cell_length_a 4.8095
_cell_length_b 4.8095
_cell_length_c 23.3707
_cell_angle_alpha 90.00
_cell_angle_beta 90.00
_cell_angle_gamma 120.00
loop_
_atom_site_label
_atom_site_type_symbol
_atom_site_fract_x
_atom_site_fract_y
_atom_site_fract_z
Tb1 Tb 0.0000 0.0000 0.0000
Ti1 Ti 0.0000 0.0000 0.1417
Co1 Co 0.0000 0.0000 0.3361
Co2 Co 0.0000 0.0000 0.5000
Co3 Co 0.0082 0.5041 0.9134
```



Record 3
## NpU2MnN5 (PBE)

Data for a geometry-optimized NpU2MnN5 structure.

Results
Fermi-level density of states	8.0	states/eV/f.u.
formation energy from raw total energies	-1.0250	eV/atom
energy	-0.390	hartree per atom

```
data_NpU2MnN5
_chemical_formula_sum 'Np2 U4 Mn2 N10'
_space_group_name_H-M_alt 'P 4/m b m'
_space_group_IT_number 127
_space_group_name_Hall '-P 4 2ab'
_cell_length_a 6.3800
_cell_length_b 6.3800
_cell_length_c 5.5122
_cell_angle_alpha 90.00
_cell_angle_beta 90.00
_cell_angle_gamma 90.00
loop_
_atom_site_label
_atom_site_type_symbol
_atom_site_fract_x
_atom_site_fract_y
_atom_site_fract_z
Np1 Np 0.0000 0.0000 0.0000
U1 U 0.1676 0.3324 0.5000
Mn1 Mn 0.0000 0.5000 0.0000
N1 N 0.0000 0.0000 0.5000
N2 N 0.1551 0.6551 0.2362
```



What is the formula in the second record?
TbTi2Co9